1.
PBE-GGA HfMgNp, relaxed; energy relative to the lowest polymorph listed for this composition = 0 meV/atom; final energy = -0.51183 Ry/atom
1.0
0.000 3.438 3.438
3.438 0.000 3.438
3.438 3.438 0.000
Hf Mg Np
1 1 1
Direct
0.000 0.000 0.000
0.250 0.250 0.250
0.750 0.750 0.750

---

2.
PBE-GGA Hf31MgO64, relaxed; final energy = -0.73562 Ry/atom
1.0
-3.370 -2.802 -9.240
9.590 -2.568 -2.725
-2.178 -10.142 1.893
Hf Mg O
31 1 64
Direct
0.236 0.605 0.103
0.735 0.104 0.104
0.238 0.105 0.104
0.014 0.853 0.145
0.518 0.360 0.145
0.517 0.851 0.146
0.011 0.357 0.146
0.734 0.399 0.351
0.734 0.892 0.352
0.237 0.896 0.353
0.236 0.395 0.353
0.516 0.644 0.393
0.514 0.146 0.395
0.013 0.146 0.395
0.014 0.646 0.396
0.736 0.104 0.603
0.236 0.104 0.604
0.236 0.604 0.604
0.736 0.605 0.604
0.515 0.354 0.646
0.014 0.855 0.646
0.514 0.853 0.646
0.014 0.354 0.646
0.236 0.396 0.854
0.237 0.895 0.854
0.734 0.895 0.855
0.736 0.398 0.857
0.014 0.145 0.896
0.514 0.147 0.897
0.011 0.645 0.899
0.517 0.644 0.899
0.741 0.613 0.098
0.596 0.496 0.007
0.100 0.497 0.010
0.100 0.997 0.010
0.599 0.999 0.011
0.911 0.713 0.075
0.409 0.213 0.076
0.908 0.211 0.077
0.407 0.711 0.077
0.341 0.460 0.173
0.841 0.463 0.173
0.842 0.961 0.173
0.343 0.961 0.173
0.652 0.246 0.239
0.150 0.247 0.240
0.151 0.747 0.240
0.649 0.746 0.243
0.598 0.004 0.260
0.098 0.504 0.260
0.100 0.005 0.260
0.590 0.497 0.267
0.406 0.787 0.326
0.406 0.287 0.326
0.907 0.289 0.327
0.909 0.790 0.327
0.841 0.039 0.422
0.842 0.539 0.423
0.340 0.539 0.423
0.342 0.039 0.423
0.651 0.254 0.489
0.151 0.754 0.490
0.151 0.253 0.490
0.651 0.753 0.491
0.598 0.996 0.510
0.098 0.496 0.510
0.099 0.997 0.510
0.600 0.497 0.511
0.408 0.711 0.576
0.408 0.211 0.577
0.908 0.211 0.577
0.909 0.710 0.577
0.342 0.461 0.672
0.842 0.460 0.673
0.842 0.961 0.673
0.342 0.961 0.673
0.152 0.246 0.740
0.651 0.246 0.740
0.151 0.747 0.740
0.652 0.746 0.740
0.600 0.504 0.759
0.100 0.503 0.759
0.099 0.003 0.760
0.599 0.003 0.760
0.408 0.289 0.826
0.907 0.789 0.827
0.908 0.288 0.827
0.409 0.789 0.827
0.845 0.537 0.919
0.342 0.540 0.923
0.342 0.040 0.923
0.842 0.038 0.924
0.649 0.757 0.989
0.151 0.254 0.989
0.155 0.754 0.989
0.653 0.253 0.990

---

3.
PBE-GGA HfMgPO, relaxed; energy relative to the lowest polymorph listed for this composition = 69 meV/atom; final energy = -0.52241 Ry/atom
1.0
-2.894 2.306 1.456
-3.554 -4.661 0.320
1.758 -0.993 5.066
Hf Mg O P
2 2 2 2
Direct
0.000 0.658 0.376
0.000 0.342 0.876
0.500 0.999 0.126
0.500 0.001 0.626
0.500 0.747 0.376
0.500 0.253 0.876
0.000 0.214 0.376
0.000 0.786 0.876